Computed, not measured: a relaxed structure of MnBiIO2 at the PBE with a Hubbard U level of DFT.

The structure in extended XYZ format:
```
5
Lattice="4.358 0.000 0.000 0.000 4.358 0.000 0.000 0.000 6.602" Properties=species:S:1:pos:R:3 pbc="T T T"
Mn 0.000 0.000 0.000
Bi 2.179 2.179 3.301
I 2.179 2.179 0.000
O 0.000 2.179 3.301
O 2.179 0.000 3.301
```

Calculated volume in Å³/cell: 125
Final energy in eV/atom: -4.73